Crystalline Sm2HoTh3 at its relaxed geometry. Source: Alexandria via LeMat-Bulk, functional PBE.

Results
- Energy of formation: 0.19 eV/atom

Cell lengths 7.6614, 7.6614, 6.7585 Å; angles 90.00, 90.00, 95.84 degrees
Positions (direct):
Sm1 0.0632 0.6028 0.7500
Sm2 0.3972 0.9368 0.7500
Sm3 0.6028 0.0632 0.2500
Sm4 0.9368 0.3972 0.2500
Ho1 0.2707 0.7293 0.2500
Ho2 0.7293 0.2707 0.7500
Th1 0.0000 0.0000 0.0000
Th2 0.0000 0.0000 0.5000
Th3 0.3340 0.3340 0.0000
Th4 0.3340 0.3340 0.5000
Th5 0.6660 0.6660 0.0000
Th6 0.6660 0.6660 0.5000